Record 1
# Ho6MgSc4 PBE-GGA optimized geometry
# size of the total moment = 0.00 Bohr magnetons per cell
# formation energy from the elements = 0.276 eV per atom
data_Ho6MgSc4
_chemical_formula_sum 'Ho12 Mg2 Sc8'
_cell_length_a 6.266
_cell_length_b 6.266
_cell_length_c 16.319
_cell_angle_alpha 90.00
_cell_angle_beta 90.00
_cell_angle_gamma 90.00
_space_group_name_H-M_alt 'I -4 2 m'
_space_group_IT_number 121
_space_group_name_Hall 'I -4 2'
loop_
_atom_site_label
_atom_site_type_symbol
_atom_site_fract_x
_atom_site_fract_y
_atom_site_fract_z
_atom_site_occupancy
Ho1 Ho 0.000 0.500 0.000 1
Ho2 Ho 0.186 0.186 0.178 1
Mg1 Mg 0.000 0.000 0.000 1
Sc1 Sc 0.170 0.170 0.375 1


Record 2
# HoMg6Sc PBE-GGA optimized geometry
# size of the total moment = 0.00 Bohr magnetons per cell
# formation energy from the elements = -0.047 eV per atom
data_HoMg6Sc
_chemical_formula_sum 'Ho1 Mg6 Sc1'
_cell_length_a 4.593
_cell_length_b 4.593
_cell_length_c 9.129
_cell_angle_alpha 90.00
_cell_angle_beta 90.00
_cell_angle_gamma 90.00
_space_group_name_H-M_alt 'P 4/m m m'
_space_group_IT_number 123
_space_group_name_Hall '-P 4 2'
loop_
_atom_site_label
_atom_site_type_symbol
_atom_site_fract_x
_atom_site_fract_y
_atom_site_fract_z
_atom_site_occupancy
Ho1 Ho 0.000 0.000 0.000 1
Mg1 Mg 0.000 0.500 0.257 1
Mg2 Mg 0.500 0.500 0.000 1
Mg3 Mg 0.500 0.500 0.500 1
Sc1 Sc 0.000 0.000 0.500 1


Record 3
# HoMg3Sc3 PBE-GGA optimized geometry
# size of the total moment = 0.93 Bohr magnetons per cell
# formation energy from the elements = 0.012 eV per atom
data_HoMg3Sc3
_chemical_formula_sum 'Ho2 Mg6 Sc6'
_cell_length_a 8.719
_cell_length_b 5.282
_cell_length_c 8.721
_cell_angle_alpha 90.00
_cell_angle_beta 119.96
_cell_angle_gamma 90.00
_space_group_name_H-M_alt 'P 1 21/m 1'
_space_group_IT_number 11
_space_group_name_Hall '-P 2yb'
loop_
_atom_site_label
_atom_site_type_symbol
_atom_site_fract_x
_atom_site_fract_y
_atom_site_fract_z
_atom_site_occupancy
Ho1 Ho 0.167 0.250 0.333 1
Mg1 Mg 0.030 0.250 0.620 1
Mg2 Mg 0.120 0.750 0.090 1
Mg3 Mg 0.410 0.750 0.530 1
Sc1 Sc 0.271 0.750 0.804 1
Sc2 Sc 0.305 0.250 0.034 1
Sc3 Sc 0.466 0.250 0.771 1